VPPdO2 (PBE+U, relaxed); final energy = -5.326 eV/atom; distance to the lowest polymorph of the same formula = 925 meV/atom
1.0
-3.864 0.310 -0.389
-0.236 -3.825 -0.699
-0.553 -0.845 4.812
P O Pd V
1 2 1 1
Direct
0.000 0.000 0.500 P
0.000 0.500 0.000 O
0.500 0.000 0.000 O
0.000 0.000 0.000 Pd
0.500 0.500 0.500 V